(1)
K2SrZn: relaxed, PBE-GGA. Values from VASP.

Values from the calculation:
E_form in meV per atom: 23
Symmetry: P4mm, No. 99
Size of the total moment in μB/f.u.: 0.00
Density in Mg/m³: 1.98

```
&SYSTEM
  ibrav = 0, nat = 4, ntyp = 3
/
ATOMIC_SPECIES
K 39.10 K.upf
Sr 87.62 Sr.upf
Zn 65.41 Zn.upf
CELL_PARAMETERS angstrom
4.213 0.000 0.000
0.000 4.213 0.000
0.000 0.000 10.903
ATOMIC_POSITIONS crystal
K 0.000 0.000 0.000
K 0.500 0.500 0.342
Sr 0.000 0.000 0.648
Zn 0.500 0.500 0.785
```



(2)
Ba6MgNb2IrCl2O12: relaxed, PBE-GGA. Values from VASP.

Values from the calculation:
Symmetry: P-3m1, No. 164
Size of the total moment in μB/f.u.: 1.05
Density in Mg/m³: 5.16
Formation energy (no corrections) in eV per atom: -2.345

```
&SYSTEM
  ibrav = 0, nat = 24, ntyp = 6
/
ATOMIC_SPECIES
Ba 137.33 Ba.upf
Mg 24.30 Mg.upf
Nb 92.91 Nb.upf
Ir 192.22 Ir.upf
Cl 35.45 Cl.upf
O 16.00 O.upf
CELL_PARAMETERS angstrom
6.059 0.000 0.000
-3.030 5.247 0.000
0.000 0.000 15.079
ATOMIC_POSITIONS crystal
Ba 0.333 0.667 0.071
Ba 0.333 0.667 0.363
Ba 0.333 0.667 0.794
Ba 0.667 0.333 0.206
Ba 0.667 0.333 0.637
Ba 0.667 0.333 0.929
Mg 0.000 0.000 0.500
Nb 0.000 0.000 0.185
Nb 0.000 0.000 0.815
Ir 0.000 0.000 0.000
Cl 0.333 0.667 0.582
Cl 0.667 0.333 0.418
O 0.154 0.308 0.918
O 0.154 0.846 0.918
O 0.162 0.325 0.241
O 0.162 0.838 0.241
O 0.308 0.154 0.082
O 0.325 0.162 0.759
O 0.675 0.838 0.241
O 0.692 0.846 0.918
O 0.838 0.162 0.759
O 0.838 0.675 0.759
O 0.846 0.154 0.082
O 0.846 0.692 0.082
```